The following is a DFT calculation (GGA-PBE) of BaCaCl2 after structural relaxation.

Cell: 6.8305 6.8305 13.7069 Å, 90.00 90.00 90.00°
Last column: nearest neighbours and their distance in Å.
Space group I-42d (No. 122)
One atom of each set of equivalent atoms:
Ba 0.0000 0.0000 0.0000  4 Cl 3.18
Ca 0.0000 0.0000 0.5000  4 Cl 2.77
Cl 0.1969 0.2500 0.6250  2 Ca 2.77

Calculated values
excess energy over the best structure of this formula in the dataset: 0.133 eV/atom
formation energy without anion corrections: -1.563 eV per atom
M_tot: 0.437 μB per atom